Material: Sn4Pb3
Method: DFT, PBE
State: optimized geometry

a = 3.4057 Å, b = 5.2194 Å, c = 23.2206 Å
α = 90.00°, β = 90.00°, γ = 90.00°
Fractional coordinates of all 14 atoms:
Sn 0.0000 0.0000 0.0704
Sn 0.0000 0.0000 0.2115
Sn 0.0000 0.0000 0.7885
Sn 0.0000 0.0000 0.9296
Sn 0.5000 0.5000 0.2885
Sn 0.5000 0.5000 0.4296
Sn 0.5000 0.5000 0.5704
Sn 0.5000 0.5000 0.7115
Pb 0.0000 0.0000 0.3533
Pb 0.0000 0.0000 0.5000
Pb 0.0000 0.0000 0.6467
Pb 0.5000 0.5000 0.0000
Pb 0.5000 0.5000 0.1467
Pb 0.5000 0.5000 0.8533

Properties
Total moment (μB/atom): 0.000

=====

Material: Sn4Pb
Method: DFT, PBE
State: optimized geometry

a = 8.5959 Å, b = 8.5959 Å, c = 4.0604 Å
α = 90.00°, β = 90.00°, γ = 90.00°
Fractional coordinates of all 10 atoms:
Sn 0.0006 0.7014 0.0000
Sn 0.2014 0.4994 0.5000
Sn 0.2986 0.0006 0.0000
Sn 0.4994 0.7986 0.5000
Sn 0.5006 0.2014 0.5000
Sn 0.7014 0.9994 0.0000
Sn 0.7986 0.5006 0.5000
Sn 0.9994 0.2986 0.0000
Pb 0.0000 0.0000 0.5000
Pb 0.5000 0.5000 0.0000

Properties
Total moment (μB/atom): 0.000
Distance to the lowest polymorph of the same formula (meV per atom): 55.3

=====

Material: SnPb2
Method: DFT, PBE
State: optimized geometry

a = 5.8852 Å, b = 5.9004 Å, c = 5.9451 Å
α = 90.00°, β = 118.02°, γ = 90.00°
Fractional coordinates of all 6 atoms:
Sn 0.0000 0.0000 0.0000
Sn 0.5000 0.5000 0.0000
Pb 0.1635 0.5000 0.3249
Pb 0.3365 0.0000 0.6751
Pb 0.6635 0.0000 0.3249
Pb 0.8365 0.5000 0.6751

Properties
Total moment (μB/atom): 0.000
Distance to the lowest polymorph of the same formula (meV per atom): 0.0

=====

Material: Sr2SnPb
Method: DFT, PBE
State: optimized geometry

a = 3.9340 Å, b = 3.9340 Å, c = 35.4597 Å
α = 90.00°, β = 90.00°, γ = 120.00°
Fractional coordinates of all 12 atoms:
Sr 0.0000 0.0000 0.0952
Sr 0.0000 0.0000 0.9048
Sr 0.3333 0.6667 0.5714
Sr 0.3333 0.6667 0.7619
Sr 0.6667 0.3333 0.2381
Sr 0.6667 0.3333 0.4286
Sn 0.0000 0.0000 0.5000
Sn 0.3333 0.6667 0.1667
Sn 0.6667 0.3333 0.8333
Pb 0.0000 0.0000 0.0000
Pb 0.3333 0.6667 0.6667
Pb 0.6667 0.3333 0.3333

Properties
Total moment (μB/atom): 0.000
Distance to the lowest polymorph of the same formula (meV per atom): 476.1

=====

Material: Sr2SnPb2
Method: DFT, PBE
State: optimized geometry

a = 9.6427 Å, b = 9.6427 Å, c = 3.8235 Å
α = 90.00°, β = 90.00°, γ = 90.00°
Fractional coordinates of all 10 atoms:
Sr 0.1305 0.3695 0.0000
Sr 0.3695 0.8695 0.0000
Sr 0.6305 0.1305 0.0000
Sr 0.8695 0.6305 0.0000
Sn 0.0000 0.0000 0.0000
Sn 0.5000 0.5000 0.0000
Pb 0.1743 0.6743 0.5000
Pb 0.3257 0.1743 0.5000
Pb 0.6743 0.8257 0.5000
Pb 0.8257 0.3257 0.5000

Properties
Total moment (μB/atom): 0.000
Distance to the lowest polymorph of the same formula (meV per atom): 291.6

=====

Material: Sr2SnPb2
Method: DFT, PBE
State: optimized geometry

a = 4.3152 Å, b = 4.3152 Å, c = 20.0194 Å
α = 90.00°, β = 90.00°, γ = 90.00°
Fractional coordinates of all 10 atoms:
Sr 0.0000 0.0000 0.0987
Sr 0.0000 0.0000 0.9013
Sr 0.5000 0.5000 0.4013
Sr 0.5000 0.5000 0.5987
Sn 0.0000 0.0000 0.5000
Sn 0.5000 0.5000 0.0000
Pb 0.0000 0.5000 0.2500
Pb 0.0000 0.5000 0.7500
Pb 0.5000 0.0000 0.2500
Pb 0.5000 0.0000 0.7500

Properties
Total moment (μB/atom): 0.000
Distance to the lowest polymorph of the same formula (meV per atom): 188.2

=====

Material: Sr2Sn2Pb
Method: DFT, PBE
State: optimized geometry

a = 4.8432 Å, b = 7.0574 Å, c = 10.0571 Å
α = 90.00°, β = 90.00°, γ = 90.00°
Fractional coordinates of all 10 atoms:
Sr 0.0000 0.0000 0.2145
Sr 0.0000 0.0000 0.7855
Sr 0.5000 0.5000 0.2855
Sr 0.5000 0.5000 0.7145
Sn 0.0000 0.2934 0.5000
Sn 0.0000 0.7066 0.5000
Sn 0.5000 0.2066 0.0000
Sn 0.5000 0.7934 0.0000
Pb 0.0000 0.5000 0.0000
Pb 0.5000 0.0000 0.5000

Properties
Total moment (μB/atom): 0.000

=====

Material: Sr2Sn3Pb3
Method: DFT, PBE
State: optimized geometry

a = 4.9489 Å, b = 4.9583 Å, c = 9.8897 Å
α = 90.00°, β = 90.00°, γ = 90.00°
Fractional coordinates of all 8 atoms:
Sr 0.0000 0.0000 0.2460
Sr 0.0000 0.0000 0.7540
Sn 0.0000 0.5000 0.0000
Sn 0.5000 0.5000 0.2463
Sn 0.5000 0.5000 0.7537
Pb 0.0000 0.5000 0.5000
Pb 0.5000 0.0000 0.0000
Pb 0.5000 0.0000 0.5000

Properties
Total moment (μB/atom): 0.000

=====

Material: SrSn2Pb
Method: DFT, PBE
State: optimized geometry

a = 4.9153 Å, b = 4.9153 Å, c = 4.9380 Å
α = 90.00°, β = 90.00°, γ = 90.00°
Fractional coordinates of all 4 atoms:
Sr 0.0000 0.0000 0.0000
Sn 0.0000 0.5000 0.5000
Sn 0.5000 0.0000 0.5000
Pb 0.5000 0.5000 0.0000

Properties
Total moment (μB/atom): 0.000

=====

Material: SrSn2Pb
Method: DFT, PBE
State: optimized geometry

a = 8.8588 Å, b = 8.8588 Å, c = 6.7653 Å
α = 90.00°, β = 90.00°, γ = 90.00°
Fractional coordinates of all 16 atoms:
Sr 0.0000 0.0000 0.0000
Sr 0.0000 0.5000 0.2500
Sr 0.5000 0.0000 0.7500
Sr 0.5000 0.5000 0.5000
Sn 0.2168 0.2500 0.6250
Sn 0.2500 0.7168 0.8750
Sn 0.2500 0.7832 0.3750
Sn 0.2832 0.2500 0.1250
Sn 0.7168 0.7500 0.1250
Sn 0.7500 0.2168 0.3750
Sn 0.7500 0.2832 0.8750
Sn 0.7832 0.7500 0.6250
Pb 0.0000 0.0000 0.5000
Pb 0.0000 0.5000 0.7500
Pb 0.5000 0.0000 0.2500
Pb 0.5000 0.5000 0.0000

Properties
Total moment (μB/atom): 0.000

=====

Material: Sr2SnPb
Method: DFT, PBE
State: optimized geometry

a = 8.1900 Å, b = 8.1900 Å, c = 8.1900 Å
α = 90.00°, β = 90.00°, γ = 90.00°
Fractional coordinates of all 16 atoms:
Sr 0.2500 0.2500 0.2500
Sr 0.2500 0.2500 0.7500
Sr 0.2500 0.7500 0.2500
Sr 0.2500 0.7500 0.7500
Sr 0.7500 0.2500 0.2500
Sr 0.7500 0.2500 0.7500
Sr 0.7500 0.7500 0.2500
Sr 0.7500 0.7500 0.7500
Sn 0.0000 0.0000 0.0000
Sn 0.0000 0.5000 0.5000
Sn 0.5000 0.0000 0.5000
Sn 0.5000 0.5000 0.0000
Pb 0.0000 0.0000 0.5000
Pb 0.0000 0.5000 0.0000
Pb 0.5000 0.0000 0.0000
Pb 0.5000 0.5000 0.5000

Properties
Total moment (μB/atom): 0.000
Distance to the lowest polymorph of the same formula (meV per atom): 76.6

=====

Material: Sr2SnPb9
Method: DFT, PBE
State: optimized geometry

a = 4.9862 Å, b = 4.9862 Å, c = 15.2218 Å
α = 90.00°, β = 90.00°, γ = 90.00°
Fractional coordinates of all 12 atoms:
Sr 0.0000 0.0000 0.1615
Sr 0.0000 0.0000 0.8385
Sn 0.0000 0.0000 0.5000
Pb 0.0000 0.5000 0.0000
Pb 0.0000 0.5000 0.3372
Pb 0.0000 0.5000 0.6628
Pb 0.5000 0.0000 0.0000
Pb 0.5000 0.0000 0.3372
Pb 0.5000 0.0000 0.6628
Pb 0.5000 0.5000 0.1714
Pb 0.5000 0.5000 0.5000
Pb 0.5000 0.5000 0.8286

Properties
Total moment (μB/atom): 0.000

=====

Material: Sr5Sn2Pb
Method: DFT, PBE
State: optimized geometry

a = 10.3031 Å, b = 10.3031 Å, c = 10.3031 Å
α = 130.51°, β = 130.51°, γ = 72.59°
Fractional coordinates of all 16 atoms:
Sr 0.0000 0.0000 0.0000
Sr 0.0353 0.5353 0.8522
Sr 0.1831 0.0353 0.5000
Sr 0.3169 0.8169 0.8522
Sr 0.4647 0.3169 0.5000
Sr 0.5000 0.5000 0.0000
Sr 0.5353 0.6831 0.5000
Sr 0.6831 0.1831 0.1478
Sr 0.8169 0.9647 0.5000
Sr 0.9647 0.4647 0.1478
Sn 0.1211 0.3789 0.5000
Sn 0.3789 0.8789 0.2577
Sn 0.6211 0.1211 0.7423
Sn 0.8789 0.6211 0.5000
Pb 0.2500 0.2500 0.0000
Pb 0.7500 0.7500 0.0000

Properties
Total moment (μB/atom): 0.002

=====

Material: SrSn3Pb
Method: DFT, PBE
State: optimized geometry

a = 8.7395 Å, b = 8.5639 Å, c = 6.9366 Å
α = 90.00°, β = 126.67°, γ = 90.00°
Fractional coordinates of all 10 atoms:
Sr 0.0000 0.0000 0.0000
Sr 0.5000 0.5000 0.0000
Sn 0.0000 0.0000 0.5000
Sn 0.2500 0.2500 0.5000
Sn 0.2500 0.7500 0.5000
Sn 0.5000 0.5000 0.5000
Sn 0.7500 0.2500 0.5000
Sn 0.7500 0.7500 0.5000
Pb 0.0000 0.5000 0.5000
Pb 0.5000 0.0000 0.5000

Properties
Total moment (μB/atom): 0.000
Distance to the lowest polymorph of the same formula (meV per atom): 0.0

=====

Material: SrSn3Pb
Method: DFT, PBE
State: optimized geometry

a = 5.8158 Å, b = 5.8158 Å, c = 5.8158 Å
α = 90.00°, β = 90.00°, γ = 90.00°
Fractional coordinates of all 5 atoms:
Sr 0.0000 0.0000 0.0000
Sn 0.0000 0.5000 0.5000
Sn 0.5000 0.0000 0.5000
Sn 0.5000 0.5000 0.0000
Pb 0.5000 0.5000 0.5000

Properties
Total moment (μB/atom): 0.000
Distance to the lowest polymorph of the same formula (meV per atom): 229.9

=====

Material: SrSn3Pb
Method: DFT, PBE
State: optimized geometry

a = 5.9399 Å, b = 5.9399 Å, c = 5.9399 Å
α = 90.00°, β = 90.00°, γ = 90.00°
Fractional coordinates of all 5 atoms:
Sr 0.0000 0.0000 0.0000
Sn 0.0000 0.0000 0.5000
Sn 0.0000 0.5000 0.0000
Sn 0.5000 0.0000 0.0000
Pb 0.5000 0.5000 0.5000

Properties
Total moment (μB/atom): 0.000
Distance to the lowest polymorph of the same formula (meV per atom): 698.4

=====

Material: SrSn5Pb2
Method: DFT, PBE
State: optimized geometry

a = 14.8875 Å, b = 5.6028 Å, c = 6.2031 Å
α = 90.00°, β = 107.10°, γ = 90.00°
Fractional coordinates of all 16 atoms:
Sr 0.0000 0.0000 0.0000
Sr 0.5000 0.5000 0.0000
Sn 0.0000 0.5000 0.5000
Sn 0.1305 0.0000 0.5702
Sn 0.1506 0.5000 0.2426
Sn 0.3494 0.0000 0.7574
Sn 0.3695 0.5000 0.4298
Sn 0.5000 0.0000 0.5000
Sn 0.6305 0.5000 0.5702
Sn 0.6506 0.0000 0.2426
Sn 0.8494 0.5000 0.7574
Sn 0.8695 0.0000 0.4298
Pb 0.2372 0.5000 0.8075
Pb 0.2628 0.0000 0.1925
Pb 0.7372 0.0000 0.8075
Pb 0.7628 0.5000 0.1925

Properties
Total moment (μB/atom): 0.000

=====

Material: SrSn4Pb
Method: DFT, PBE
State: optimized geometry

a = 6.3698 Å, b = 6.3698 Å, c = 6.3698 Å
α = 60.00°, β = 60.00°, γ = 60.00°
Fractional coordinates of all 6 atoms:
Sr 0.0000 0.0000 0.0000
Sn 0.1258 0.6247 0.6247
Sn 0.6247 0.1258 0.6247
Sn 0.6247 0.6247 0.1258
Sn 0.6247 0.6247 0.6247
Pb 0.2500 0.2500 0.2500

Properties
Total moment (μB/atom): 0.000
Distance to the lowest polymorph of the same formula (meV per atom): 2.8

=====

Material: SrSn6Pb2
Method: DFT, PBE
State: optimized geometry

a = 6.4960 Å, b = 6.4960 Å, c = 6.3350 Å
α = 94.55°, β = 94.55°, γ = 96.65°
Fractional coordinates of all 9 atoms:
Sr 0.0000 0.0000 0.0000
Sn 0.1661 0.8339 0.5000
Sn 0.1681 0.4995 0.8319
Sn 0.4995 0.1681 0.8319
Sn 0.5005 0.8319 0.1681
Sn 0.8319 0.5005 0.1681
Sn 0.8339 0.1661 0.5000
Pb 0.3412 0.3412 0.3353
Pb 0.6588 0.6588 0.6647

Properties
Total moment (μB/atom): 0.000

=====

Material: SrSn2Pb
Method: DFT, PBE
State: optimized geometry

a = 4.2285 Å, b = 4.2285 Å, c = 7.0850 Å
α = 90.00°, β = 90.00°, γ = 90.00°
Fractional coordinates of all 4 atoms:
Sr 0.0000 0.0000 0.0000
Sn 0.5000 0.5000 0.2894
Sn 0.5000 0.5000 0.7106
Pb 0.0000 0.0000 0.5000

Properties
Total moment (μB/atom): 0.000

=====

Number 1: raw total energy -3.83 eV per atom. Number 2: raw total energy -3.82 eV per atom. Number 3: raw total energy -3.76 eV per atom. Number 4: raw total energy -2.90 eV per atom. Number 5: raw total energy -3.13 eV per atom. Number 6: raw total energy -3.24 eV per atom. Number 7: raw total energy -3.52 eV per atom. Number 8: raw total energy -3.68 eV per atom. Number 9: raw total energy -3.72 eV per atom. Number 10: raw total energy -3.56 eV per atom. Number 11: raw total energy -3.30 eV per atom. Number 12: raw total energy -3.60 eV per atom. Number 13: raw total energy -3.13 eV per atom. Number 14: raw total energy -3.41 eV per atom. Number 15: raw total energy -3.18 eV per atom. Number 16: raw total energy -2.71 eV per atom. Number 17: raw total energy -3.76 eV per atom. Number 18: raw total energy -3.80 eV per atom. Number 19: raw total energy -3.81 eV per atom. Number 20: raw total energy -3.64 eV per atom.